# PBE IrC3, relaxed
# **Calculated volume**: 8.899 Å³/atom
# **Fermi-level density of states**: 1.6 states/eV/f.u.
# **Formation enthalpy at 0 K**: 1.247 eV per atom
data_IrC3
_cell_length_a 5.164
_cell_length_b 5.498
_cell_length_c 5.015
_cell_angle_alpha 90.00
_cell_angle_beta 90.00
_cell_angle_gamma 90.00
_symmetry_space_group_name_H-M 'P n m a'
_symmetry_Int_Tables_number 62
loop_
_symmetry_equiv_pos_as_xyz
'x,y,z'
'-x,-y,-z'
'-x+1/2,-y,z+1/2'
'x+1/2,y,-z+1/2'
'x+1/2,-y+1/2,-z+1/2'
'-x+1/2,y+1/2,z+1/2'
'-x,y+1/2,-z'
'x,-y+1/2,z'
loop_
_atom_site_label
_atom_site_fract_x
_atom_site_fract_y
_atom_site_fract_z
Ir1 0.151 0.250 0.010
C1 0.057 0.250 0.412
C2 0.243 0.117 0.586